Record 1
# LiTi2V3O12, optimized geometry, DFT GGA-PBEsol
# DOS at the Fermi energy   0.00 states/eV per cell
# Raw total energy   -8.70 eV/atom
# Raw formation energy   -2.5609 eV per atom
# Total magnetic moment   0.0 μB/cell
data_LiTi2V3O12
_cell_length_a 8.8843
_cell_length_b 9.0689
_cell_length_c 12.4598
_cell_angle_alpha 90.05
_cell_angle_beta 90.37
_cell_angle_gamma 90.02
_space_group_name_H-M_alt 'P 1'
_space_group_IT_number 1
_space_group_name_Hall 'P 1'
loop_
_atom_site_label
_atom_site_type_symbol
_atom_site_fract_x
_atom_site_fract_y
_atom_site_fract_z
_atom_site_occupancy
Li1 Li 0.0000 0.0000 0.0000 1
Li2 Li 0.0054 0.4235 0.6398 1
Li3 Li 0.1399 0.6848 0.4830 1
Li4 Li 0.2559 0.1791 0.6071 1
Ti1 Ti 0.1875 0.4386 0.9195 1
Ti2 Ti 0.1921 0.8745 0.6792 1
Ti3 Ti 0.1947 0.3731 0.4126 1
Ti4 Ti 0.2054 0.9361 0.1808 1
Ti5 Ti 0.6839 0.9387 0.9198 1
Ti6 Ti 0.6854 0.3873 0.6839 1
Ti7 Ti 0.6917 0.8835 0.4154 1
Ti8 Ti 0.6937 0.4416 0.1787 1
V1 V 0.0491 0.2892 0.1529 1
V2 V 0.0517 0.0221 0.4406 1
V3 V 0.3269 0.5197 0.6578 1
V4 V 0.3314 0.7966 0.9417 1
V5 V 0.4117 0.6570 0.3102 1
V6 V 0.4738 0.1594 0.2900 1
V7 V 0.5535 0.0244 0.6526 1
V8 V 0.5549 0.3020 0.9388 1
V9 V 0.8341 0.5261 0.4456 1
V10 V 0.8365 0.7986 0.1567 1
V11 V 0.9115 0.6593 0.8082 1
V12 V 0.9758 0.1575 0.7856 1
O1 O 0.0147 0.5723 0.9051 1
O2 O 0.0213 0.4892 0.4835 1
O3 O 0.0240 0.8077 0.1823 1
O4 O 0.0262 0.7800 0.7386 1
O5 O 0.0644 0.2731 0.8726 1
O6 O 0.0692 0.1048 0.1289 1
O7 O 0.0934 0.3353 0.2839 1
O8 O 0.0994 0.8894 0.5337 1
O9 O 0.1111 0.1936 0.4842 1
O10 O 0.1166 0.0692 0.7135 1
O11 O 0.1449 0.9818 0.3264 1
O12 O 0.1559 0.3889 0.0639 1
O13 O 0.2063 0.4765 0.7574 1
O14 O 0.2115 0.8940 0.0256 1
O15 O 0.2659 0.5693 0.3796 1
O16 O 0.2731 0.6918 0.6136 1
O17 O 0.2874 0.3898 0.5619 1
O18 O 0.2977 0.8455 0.8121 1
O19 O 0.3051 0.6120 0.9526 1
O20 O 0.3317 0.7825 0.2224 1
O21 O 0.3613 0.0795 0.1926 1
O22 O 0.3660 0.2781 0.3670 1
O23 O 0.3660 0.9931 0.6263 1
O24 O 0.3685 0.3225 0.9061 1
O25 O 0.5135 0.5111 0.6921 1
O26 O 0.5151 0.8361 0.9720 1
O27 O 0.5175 0.5386 0.2396 1
O28 O 0.5224 0.7425 0.4010 1
O29 O 0.5498 0.0323 0.3736 1
O30 O 0.5797 0.2121 0.6448 1
O31 O 0.5942 0.4106 0.0472 1
O32 O 0.5983 0.9685 0.7774 1
O33 O 0.6023 0.1225 0.9649 1
O34 O 0.6124 0.2556 0.2323 1
O35 O 0.6595 0.9287 0.5624 1
O36 O 0.6660 0.3556 0.8353 1
O37 O 0.7219 0.4372 0.5365 1
O38 O 0.7372 0.8576 0.2636 1
O39 O 0.7701 0.7542 0.8646 1
O40 O 0.7808 0.6220 0.1312 1
O41 O 0.7947 0.4680 0.3209 1
O42 O 0.8053 0.9130 0.0466 1
O43 O 0.8154 0.7130 0.4514 1
O44 O 0.8448 0.5348 0.7152 1
O45 O 0.8636 0.0167 0.4186 1
O46 O 0.8677 0.3323 0.1308 1
O47 O 0.8756 0.0389 0.8634 1
O48 O 0.8764 0.2555 0.6926 1

Record 2
# SrTiOsC2, optimized geometry, DFT GGA-PBEsol
# DOS at the Fermi energy   4.02 states/eV per cell
# ΔH_f (0 K)   1.482 eV per atom
# Raw total energy   -6.85 eV/atom
# Total magnetic moment   0.3 μB/cell
data_SrTiOsC2
_cell_length_a 4.2062
_cell_length_b 4.2062
_cell_length_c 4.6844
_cell_angle_alpha 90.00
_cell_angle_beta 90.00
_cell_angle_gamma 90.00
_space_group_name_H-M_alt 'P 4/m m m'
_space_group_IT_number 123
_space_group_name_Hall '-P 4 2'
loop_
_atom_site_label
_atom_site_type_symbol
_atom_site_fract_x
_atom_site_fract_y
_atom_site_fract_z
_atom_site_occupancy
Sr1 Sr 0.0000 0.0000 0.0000 1
Ti1 Ti 0.5000 0.5000 0.5000 1
Os1 Os 0.5000 0.5000 0.0000 1
C1 C 0.0000 0.5000 0.5000 1

Record 3
# Na3LiTa, optimized geometry, DFT GGA-PBEsol
# DOS at the Fermi energy   3.73 states/eV per cell
# ΔH_f (0 K)   1.372 eV per atom
# Raw total energy   -2.37 eV/atom
# Total magnetic moment   3.3 μB/cell
data_Na3LiTa
_cell_length_a 5.0783
_cell_length_b 5.0783
_cell_length_c 5.0783
_cell_angle_alpha 90.00
_cell_angle_beta 90.00
_cell_angle_gamma 90.00
_space_group_name_H-M_alt 'P m -3 m'
_space_group_IT_number 221
_space_group_name_Hall '-P 4 2 3'
loop_
_atom_site_label
_atom_site_type_symbol
_atom_site_fract_x
_atom_site_fract_y
_atom_site_fract_z
_atom_site_occupancy
Na1 Na 0.0000 0.0000 0.5000 1
Li1 Li 0.0000 0.0000 0.0000 1
Ta1 Ta 0.5000 0.5000 0.5000 1

Record 4
# MoIr2Os, optimized geometry, DFT GGA-PBEsol
# DOS at the Fermi energy   5.93 states/eV per cell
# ΔH_f (0 K)   -0.179 eV per atom
# Raw total energy   -11.09 eV/atom
# Total magnetic moment   0.0 μB/cell
data_MoIr2Os
_cell_length_a 3.8328
_cell_length_b 3.8328
_cell_length_c 7.7483
_cell_angle_alpha 90.00
_cell_angle_beta 90.00
_cell_angle_gamma 90.00
_space_group_name_H-M_alt 'I 4/m m m'
_space_group_IT_number 139
_space_group_name_Hall '-I 4 2'
loop_
_atom_site_label
_atom_site_type_symbol
_atom_site_fract_x
_atom_site_fract_y
_atom_site_fract_z
_atom_site_occupancy
Mo1 Mo 0.0000 0.0000 0.0000 1
Ir1 Ir 0.0000 0.5000 0.2500 1
Os1 Os 0.0000 0.0000 0.5000 1

Record 5
# FeOs, optimized geometry, DFT GGA-PBEsol
# DOS at the Fermi energy   11.96 states/eV per cell
# ΔH_f (0 K)   0.040 eV per atom
# Raw total energy   -10.55 eV/atom
# Total magnetic moment   0.0 μB/cell
data_FeOs
_cell_length_a 9.2733
_cell_length_b 2.6304
_cell_length_c 6.1169
_cell_angle_alpha 90.00
_cell_angle_beta 104.07
_cell_angle_gamma 90.00
_space_group_name_H-M_alt 'C 1 m 1'
_space_group_IT_number 8
_space_group_name_Hall 'C -2y'
loop_
_atom_site_label
_atom_site_type_symbol
_atom_site_fract_x
_atom_site_fract_y
_atom_site_fract_z
_atom_site_occupancy
Fe1 Fe 0.0000 0.0000 0.0000 1
Fe2 Fe 0.0597 0.0000 0.6099 1
Fe3 Fe 0.1688 0.5000 0.3374 1
Os1 Os 0.2155 0.5000 0.9469 1
Os2 Os 0.3374 0.0000 0.6666 1
Os3 Os 0.3960 0.0000 0.2792 1

Record 6
# CuNiAsBr2, optimized geometry, DFT GGA-PBEsol
# DOS at the Fermi energy   10.03 states/eV per cell
# Raw total energy   -3.02 eV/atom
# Raw formation energy   0.8505 eV per atom
# Total magnetic moment   0.8 μB/cell
data_CuNiAsBr2
_cell_length_a 4.8332
_cell_length_b 4.8332
_cell_length_c 4.6676
_cell_angle_alpha 90.00
_cell_angle_beta 90.00
_cell_angle_gamma 90.00
_space_group_name_H-M_alt 'P 4/m m m'
_space_group_IT_number 123
_space_group_name_Hall '-P 4 2'
loop_
_atom_site_label
_atom_site_type_symbol
_atom_site_fract_x
_atom_site_fract_y
_atom_site_fract_z
_atom_site_occupancy
Cu1 Cu 0.0000 0.0000 0.0000 1
Ni1 Ni 0.5000 0.5000 0.5000 1
As1 As 0.0000 0.0000 0.5000 1
Br1 Br 0.0000 0.5000 0.0000 1

Record 7
# Nd6S4N3Cl, optimized geometry, DFT GGA-PBEsol
# Raw total energy   -7.31 eV/atom
# Raw formation energy   -1.8735 eV per atom
# Total magnetic moment   0.0 μB/cell
data_Nd6S4N3Cl
_cell_length_a 11.4991
_cell_length_b 3.9886
_cell_length_c 26.3837
_cell_angle_alpha 90.00
_cell_angle_beta 90.00
_cell_angle_gamma 90.00
_space_group_name_H-M_alt 'P n m a'
_space_group_IT_number 62
_space_group_name_Hall '-P 2ac 2n'
loop_
_atom_site_label
_atom_site_type_symbol
_atom_site_fract_x
_atom_site_fract_y
_atom_site_fract_z
_atom_site_occupancy
Nd1 Nd 0.0552 0.2500 0.1919 1
Nd2 Nd 0.0562 0.2500 0.9256 1
Nd3 Nd 0.0908 0.2500 0.4599 1
Nd4 Nd 0.1186 0.2500 0.7053 1
Nd5 Nd 0.2360 0.7500 0.5660 1
Nd6 Nd 0.2382 0.7500 0.8310 1
S1 S 0.0425 0.7500 0.6348 1
S2 S 0.1470 0.7500 0.0062 1
S3 S 0.1802 0.7500 0.1403 1
S4 S 0.2127 0.7500 0.3967 1
N1 N 0.0616 0.7500 0.8758 1
N2 N 0.0982 0.7500 0.5094 1
N3 N 0.1143 0.7500 0.7597 1
Cl1 Cl 0.1312 0.7500 0.2675 1

Record 8
# VOF2, optimized geometry, DFT GGA-PBEsol
# DOS at the Fermi energy   7.63 states/eV per cell
# Raw total energy   -7.33 eV/atom
# Raw formation energy   -2.6475 eV per atom
# Total magnetic moment   4.0 μB/cell
data_VOF2
_cell_length_a 5.2903
_cell_length_b 5.2159
_cell_length_c 7.2523
_cell_angle_alpha 90.00
_cell_angle_beta 91.96
_cell_angle_gamma 90.00
_space_group_name_H-M_alt 'P 1 21/c 1'
_space_group_IT_number 14
_space_group_name_Hall '-P 2ybc'
loop_
_atom_site_label
_atom_site_type_symbol
_atom_site_fract_x
_atom_site_fract_y
_atom_site_fract_z
_atom_site_occupancy
V1 V 0.2500 0.2387 0.2232 1
O1 O 0.2496 0.1974 0.9974 1
F1 F 0.0574 0.5606 0.7814 1
F2 F 0.4452 0.5517 0.2187 1

Q: Which value of total magnetic moment does entry 8 give?
A: 4.0 μB/cell

Q: The highest raw total energy belongs to which entry?
A: Na3LiTa

Q: What is the total magnetic moment in the seventh record?
A: 0.0 μB/cell